Tb3Sm4Tm5: relaxed, PBE.

a = 6.1521 Å, b = 7.1039 Å, c = 8.6877 Å
α = 89.90°, β = 89.99°, γ = 89.90°
Sites, in units of the cell vectors:
Tb: 0.0000 0.0000 0.0000
Tb: 0.1680 0.2487 0.6682
Tb: 0.8320 0.7513 0.3318
Sm: 0.1672 0.7509 0.6680
Sm: 0.3316 0.4999 0.3307
Sm: 0.6684 0.5001 0.6693
Sm: 0.8328 0.2491 0.3320
Tm: 0.0000 0.5000 0.0000
Tm: 0.3341 0.9999 0.3306
Tm: 0.4994 0.2484 0.0000
Tm: 0.5006 0.7516 0.0000
Tm: 0.6659 0.0001 0.6694

Properties
The calculation puts the formation enthalpy at 0 K at 19 meV per atom. Its calculated total energy is -54.9 eV per cell.


K2Bi2Au: relaxed, PBE.

a = 10.5792 Å, b = 10.5792 Å, c = 3.3425 Å
α = 90.00°, β = 90.00°, γ = 90.00°
Sites, in units of the cell vectors:
K: 0.1983 0.3017 0.0000
K: 0.3017 0.8017 0.0000
K: 0.6983 0.1983 0.0000
K: 0.8017 0.6983 0.0000
Bi: 0.0976 0.5976 0.5000
Bi: 0.4024 0.0976 0.5000
Bi: 0.5976 0.9024 0.5000
Bi: 0.9024 0.4024 0.5000
Au: 0.0000 0.0000 0.0000
Au: 0.5000 0.5000 0.0000

Properties
The calculation puts the formation enthalpy at 0 K at 8 meV per atom. Its calculated total energy is -26.4 eV per cell.


BaAgRu2: relaxed, PBE.

a = 4.7915 Å, b = 4.7915 Å, c = 6.0235 Å
α = 109.20°, β = 109.20°, γ = 53.49°
Sites, in units of the cell vectors:
Ba: 0.0000 0.0000 0.0000
Ag: 0.5000 0.5000 0.5000
Ru: 0.2045 0.2045 0.5524
Ru: 0.7955 0.7955 0.4476

Properties
The calculation puts the formation enthalpy at 0 K at 465 meV per atom. Its calculated total energy is -21.5 eV per cell.


Na2AgGeBr6: relaxed, PBE.

a = 7.2534 Å, b = 7.2535 Å, c = 7.6574 Å
α = 118.24°, β = 90.05°, γ = 119.96°
Sites, in units of the cell vectors:
Na: 0.0000 0.0000 0.0000
Na: 0.4957 0.9916 0.4871
Ag: 0.2981 0.5964 0.8949
Ge: 0.8009 0.6019 0.4031
Br: 0.0513 0.7206 0.1664
Br: 0.1624 0.7323 0.6585
Br: 0.4451 0.4967 0.1663
Br: 0.5700 0.4960 0.6584
Br: 0.6695 0.1150 0.1665
Br: 0.9259 0.0879 0.6582

Properties
Its calculated total energy is -28.7 eV per cell. The raw formation energy is -0.8560 eV/atom.


Pr3TmF: relaxed, PBE.

a = 5.2000 Å, b = 5.2000 Å, c = 5.2000 Å
α = 90.00°, β = 90.00°, γ = 90.00°
Sites, in units of the cell vectors:
Pr: 0.0000 0.0000 0.5000
Pr: 0.0000 0.5000 0.0000
Pr: 0.5000 0.0000 0.0000
Tm: 0.5000 0.5000 0.5000
F: 0.0000 0.0000 0.0000

Properties
Its calculated total energy is -25.6 eV per cell. The raw formation energy is -0.9798 eV/atom.


CePmHgI: relaxed, PBE.

a = 5.4564 Å, b = 5.4564 Å, c = 5.4564 Å
α = 60.00°, β = 60.00°, γ = 60.00°
Sites, in units of the cell vectors:
Ce: 0.0000 0.0000 0.0000
Pm: 0.5000 0.5000 0.5000
Hg: 0.7500 0.7500 0.7500
I: 0.2500 0.2500 0.2500

Properties
Its calculated total energy is -14.3 eV per cell. The raw formation energy is -0.4511 eV/atom.


ReMoCl: relaxed, PBE.

a = 4.2601 Å, b = 4.2601 Å, c = 4.2601 Å
α = 60.00°, β = 60.00°, γ = 60.00°
Sites, in units of the cell vectors:
Re: 0.0000 0.0000 0.0000
Mo: 0.7500 0.7500 0.7500
Cl: 0.5000 0.5000 0.5000

Properties
Its calculated total energy is -21.7 eV per cell. The raw formation energy is 1.1310 eV/atom.


AcCeHgSb: relaxed, PBE.

a = 5.5990 Å, b = 5.5990 Å, c = 5.5990 Å
α = 60.00°, β = 60.00°, γ = 60.00°
Sites, in units of the cell vectors:
Ac: 0.0000 0.0000 0.0000
Ce: 0.5000 0.5000 0.5000
Hg: 0.2500 0.2500 0.2500
Sb: 0.7500 0.7500 0.7500

Properties
Its calculated total energy is -16.8 eV per cell. The raw formation energy is -0.5795 eV/atom.